#1
Entry from Alexandria via LeMat-Bulk: a geometry-optimized NbTl2Pt2 structure (PBE-GGA).

Geometry as POSCAR:
```
NbTl2Pt2
1.0
-0.2118 -2.1418 -6.5864
4.5093 -5.0441 1.4952
-3.2917 -2.6553 0.9693
Pt Tl Nb
4 4 2
direct
0.8638 0.6362 0.0000
0.3638 0.8638 0.0000
0.6362 0.1362 0.0000
0.1362 0.3638 0.0000
0.8254 0.3254 0.5000
0.1746 0.6746 0.5000
0.3254 0.1746 0.5000
0.6746 0.8254 0.5000
0.5000 0.5000 0.0000
0.0000 0.0000 0.0000
```

V (Å³/cell): 208.3

---

#2
Entry from Alexandria via LeMat-Bulk: a geometry-optimized NbTl2Pt2 structure (PBE-GGA).

Geometry as POSCAR:
```
NbTl2Pt2
1.0
-0.4889 3.9650 0.0489
-0.5189 -0.0151 -3.9614
-7.0573 1.1562 -1.0947
Tl Pt Nb
2 2 1
direct
0.2500 0.7500 0.5000
0.7500 0.2500 0.5000
0.5950 0.5950 0.8099
0.4050 0.4050 0.1901
0.0000 0.0000 0.0000
```

V (Å³/cell): 106.3

---

Stability check: which of them is most stable? #1.

---

#1
Entry from Alexandria via LeMat-Bulk: a geometry-optimized NbTl2Pt structure (PBE-GGA).

Geometry as POSCAR:
```
NbTl2Pt
1.0
-3.2396 2.9376 2.1221
-2.3761 3.3131 -2.6467
-4.7436 -0.5575 -0.9029
Tl Pt Nb
2 1 1
direct
0.2500 0.2500 0.2500
0.7500 0.7500 0.7500
0.5000 0.5000 0.5000
0.0000 0.0000 0.0000
```

V (Å³/cell): 81.2

---

#2
Entry from Alexandria via LeMat-Bulk: a geometry-optimized NbTl2Pt structure (PBE-GGA).

Geometry as POSCAR:
```
NbTl2Pt
1.0
7.7736 0.0000 0.0000
0.0000 7.7736 0.0000
3.8868 3.8868 2.9198
Pt Nb Tl
2 2 4
direct
0.0000 0.0000 0.0000
0.7500 0.2500 0.5000
0.5000 0.5000 0.0000
0.2500 0.7500 0.5000
0.1061 0.6250 0.2500
0.3750 0.3561 0.7500
0.8750 0.8939 0.7500
0.6439 0.1250 0.2500
```

V (Å³/cell): 176.4

---

Stability check: which of them is most stable? #1.